An optimized crystal structure of CdSe2N, computed with PBE-GGA.

```
CdSe2N
1.0
-3.970 5.429 1.145
-5.641 1.989 3.280
-2.212 4.145 4.946
Cd Se N
1 2 1
Cartesian
-5.912 5.782 4.686
-10.742 10.505 8.514
-1.082 1.058 0.857
0.000 0.000 0.000
```

Properties
The total moment is 0.00 Bohr magnetons per cell. The calculation puts the energy relative to the elements, uncorrected at 561 meV per atom. The space-group type is R-3m, No. 166. The calculation puts the raw total energy at -3.492 eV per atom. For the energy above the lowest structure with this stoichiometry, the calculation gives 0 meV/atom.